Record 1
VASP calculation (PBE-GGA) on Ac4Cd2Ru after structural relaxation. Values from VASP.

Output
ΔH_f (0 K): -231 meV/atom
Calculated density: 8.19 g/cm³
M_tot: 0.000 μB/f.u.

```
&SYSTEM
  ibrav = 0, nat = 7, ntyp = 3
/
ATOMIC_SPECIES
Cd 112.41 Cd.upf
Ac 227.00 Ac.upf
Ru 101.07 Ru.upf
ATOMIC_POSITIONS crystal
Cd 0.385 0.566 0.664
Ac 0.344 0.252 0.061
Ac 0.906 0.831 0.358
Ac 0.656 0.748 0.939
Cd 0.615 0.434 0.336
Ac 0.094 0.169 0.642
Ru 0.000 0.000 0.000
CELL_PARAMETERS angstrom
-1.548 3.897 0.668
-2.526 0.069 7.241
6.015 3.944 4.421
```

Record 2
VASP calculation (PBE-GGA) on Ac5CdRu after structural relaxation. Values from VASP.

Output
ΔH_f (0 K): -71 meV/atom
Calculated density: 8.22 g/cm³
M_tot: 0.000 μB/f.u.

```
&SYSTEM
  ibrav = 0, nat = 14, ntyp = 3
/
ATOMIC_SPECIES
Ac 227.00 Ac.upf
Cd 112.41 Cd.upf
Ru 101.07 Ru.upf
ATOMIC_POSITIONS crystal
Ac 0.790 0.445 0.462
Cd 0.489 0.511 0.250
Ru 0.000 0.000 0.500
Ac 0.960 0.615 0.132
Ac 0.555 0.210 0.038
Ac 0.971 0.029 0.250
Ac 0.210 0.555 0.538
Ac 0.040 0.385 0.868
Cd 0.511 0.489 0.750
Ac 0.385 0.040 0.368
Ac 0.445 0.790 0.962
Ac 0.029 0.971 0.750
Ac 0.615 0.960 0.632
Ru 0.000 0.000 0.000
CELL_PARAMETERS angstrom
7.327 0.574 0.024
2.869 6.766 0.024
3.745 2.696 11.379
```

Record 3
VASP calculation (PBE-GGA) on Ac5Cd2Ru after structural relaxation. Values from VASP.

Output
ΔH_f (0 K): -216 meV/atom
Calculated density: 8.24 g/cm³
M_tot: 0.000 μB/f.u.

```
&SYSTEM
  ibrav = 0, nat = 16, ntyp = 3
/
ATOMIC_SPECIES
Ac 227.00 Ac.upf
Cd 112.41 Cd.upf
Ru 101.07 Ru.upf
ATOMIC_POSITIONS crystal
Ac 0.500 0.324 0.564
Ac 0.000 0.380 0.300
Ac 0.000 0.880 0.200
Ac 0.000 0.120 0.800
Ac 0.500 0.676 0.436
Ac 0.500 0.824 0.936
Cd 0.500 0.105 0.323
Ac 0.000 0.620 0.700
Ru 0.000 0.500 0.500
Ac 0.000 0.000 0.500
Ac 0.500 0.176 0.064
Ru 0.000 0.000 0.000
Cd 0.500 0.895 0.677
Cd 0.500 0.395 0.823
Cd 0.500 0.605 0.177
Ac 0.000 0.500 0.000
CELL_PARAMETERS angstrom
4.310 0.000 0.000
0.000 10.276 0.000
0.000 0.000 13.301
```

Record 4
VASP calculation (PBE-GGA) on Ac2CdRu after structural relaxation. Values from VASP.

Output
ΔH_f (0 K): -124 meV/atom
Calculated density: 9.37 g/cm³
M_tot: 0.265 μB/f.u.

```
&SYSTEM
  ibrav = 0, nat = 4, ntyp = 3
/
ATOMIC_SPECIES
Ac 227.00 Ac.upf
Cd 112.41 Cd.upf
Ru 101.07 Ru.upf
ATOMIC_POSITIONS crystal
Ac 0.000 0.000 0.214
Ac 0.000 0.000 0.786
Cd 0.500 0.500 0.500
Ru 0.500 0.500 0.000
CELL_PARAMETERS angstrom
-2.039 -2.960 1.087
3.070 -1.567 1.491
-1.613 3.795 7.310
```

Record 5
VASP calculation (PBE-GGA) on Ac2CdRu after structural relaxation. Values from VASP.

Output
ΔH_f (0 K): -131 meV/atom
Calculated density: 7.84 g/cm³
M_tot: 0.000 μB/f.u.

```
&SYSTEM
  ibrav = 0, nat = 8, ntyp = 3
/
ATOMIC_SPECIES
Ac 227.00 Ac.upf
Ru 101.07 Ru.upf
Cd 112.41 Cd.upf
ATOMIC_POSITIONS crystal
Ac 0.253 0.982 0.519
Ru 0.880 0.267 0.978
Ac 0.498 0.043 0.966
Ac 0.946 0.431 0.683
Ru 0.564 0.207 0.670
Cd 0.722 0.237 0.324
Cd 0.222 0.737 0.824
Ac 0.191 0.493 0.130
CELL_PARAMETERS angstrom
-2.891 -2.719 -1.679
2.268 -8.063 3.615
-6.865 1.541 3.804
```

Record 6
VASP calculation (PBE-GGA) on Ac2CdRu after structural relaxation. Values from VASP.

Output
ΔH_f (0 K): -190 meV/atom
Calculated density: 8.78 g/cm³
M_tot: 0.000 μB/f.u.

```
&SYSTEM
  ibrav = 0, nat = 8, ntyp = 3
/
ATOMIC_SPECIES
Ru 101.07 Ru.upf
Ac 227.00 Ac.upf
Cd 112.41 Cd.upf
ATOMIC_POSITIONS crystal
Ru 0.806 0.250 0.612
Ru 0.194 0.750 0.388
Ac 0.356 0.000 0.711
Ac 0.356 0.500 0.711
Cd 0.008 0.750 0.016
Ac 0.644 0.000 0.289
Ac 0.644 0.500 0.289
Cd 0.992 0.250 0.984
CELL_PARAMETERS angstrom
-3.848 1.192 1.426
-2.059 -7.389 0.618
4.557 -0.726 6.499
```

Record 7
VASP calculation (PBE-GGA) on Ac3Cd2Ru after structural relaxation. Values from VASP.

Output
ΔH_f (0 K): -242 meV/atom
Calculated density: 8.46 g/cm³
M_tot: 0.000 μB/f.u.

```
&SYSTEM
  ibrav = 0, nat = 12, ntyp = 3
/
ATOMIC_SPECIES
Ac 227.00 Ac.upf
Cd 112.41 Cd.upf
Ru 101.07 Ru.upf
ATOMIC_POSITIONS crystal
Ac 0.872 0.872 0.744
Cd 0.703 0.954 0.407
Ac 0.128 0.628 0.256
Cd 0.297 0.546 0.593
Cd 0.297 0.046 0.593
Ac 0.872 0.372 0.744
Ac 0.128 0.128 0.256
Ru 0.000 0.250 0.000
Cd 0.703 0.454 0.407
Ac 0.500 0.750 0.000
Ru 0.000 0.750 0.000
Ac 0.500 0.250 0.000
CELL_PARAMETERS angstrom
-2.416 5.084 0.021
-7.023 -3.326 -2.557
2.302 -2.062 9.420
```

Record 8
VASP calculation (PBE-GGA) on Ac6Cd3Ru2 after structural relaxation. Values from VASP.

Output
ΔH_f (0 K): -90 meV/atom
Calculated density: 8.35 g/cm³
M_tot: 0.000 μB/f.u.

```
&SYSTEM
  ibrav = 0, nat = 11, ntyp = 3
/
ATOMIC_SPECIES
Cd 112.41 Cd.upf
Ac 227.00 Ac.upf
Ru 101.07 Ru.upf
ATOMIC_POSITIONS crystal
Cd 0.000 0.000 0.000
Cd 0.168 0.168 0.336
Ac 0.917 0.417 0.833
Ac 0.304 0.304 0.608
Ac 0.417 0.917 0.833
Ru 0.438 0.438 0.876
Ac 0.083 0.583 0.167
Cd 0.832 0.832 0.664
Ru 0.562 0.562 0.124
Ac 0.696 0.696 0.392
Ac 0.583 0.083 0.167
CELL_PARAMETERS angstrom
5.605 0.000 0.000
0.000 5.605 0.000
-2.802 -2.802 12.035
```

Record 9
VASP calculation (PBE-GGA) on Ac4Cd5Ru2 after structural relaxation. Values from VASP.

Output
ΔH_f (0 K): -213 meV/atom
Calculated density: 8.58 g/cm³
M_tot: 0.000 μB/f.u.

```
&SYSTEM
  ibrav = 0, nat = 11, ntyp = 3
/
ATOMIC_SPECIES
Ac 227.00 Ac.upf
Cd 112.41 Cd.upf
Ru 101.07 Ru.upf
ATOMIC_POSITIONS crystal
Ac 0.500 0.220 0.447
Cd 0.000 0.195 0.158
Cd 0.000 0.445 0.686
Cd 0.000 0.805 0.842
Ru 0.000 0.930 0.354
Ac 0.500 0.780 0.553
Ru 0.000 0.070 0.646
Cd 0.000 0.500 0.000
Cd 0.000 0.555 0.314
Ac 0.500 0.167 0.847
Ac 0.500 0.833 0.153
CELL_PARAMETERS angstrom
4.066 0.000 0.000
0.000 7.904 -0.030
0.000 -0.797 10.076
```

Record 10
VASP calculation (PBE-GGA) on Ac6CdRu after structural relaxation. Values from VASP.

Output
ΔH_f (0 K): -13 meV/atom
Calculated density: 7.61 g/cm³
M_tot: 0.000 μB/f.u.

```
&SYSTEM
  ibrav = 0, nat = 8, ntyp = 3
/
ATOMIC_SPECIES
Ac 227.00 Ac.upf
Ru 101.07 Ru.upf
Cd 112.41 Cd.upf
ATOMIC_POSITIONS crystal
Ac 0.590 0.216 0.242
Ac 0.782 0.047 0.758
Ac 0.410 0.784 0.758
Ru 0.000 0.000 0.000
Cd 0.500 0.500 0.500
Ac 0.218 0.953 0.242
Ac 0.048 0.410 0.759
Ac 0.952 0.590 0.241
CELL_PARAMETERS angstrom
-5.130 4.879 -2.410
-5.674 1.983 4.500
0.302 7.593 3.236
```